--- w ---
A plane-wave DFT calculation with PBE was carried out for an optimized crystal structure of LiMnSe.

M_tot, μB per formula unit: 4.01

The structure in CIF format:
```
data_LiMnSe
_chemical_formula_sum 'Li8 Mn8 Se8'
_cell_length_a 8.4515
_cell_length_b 8.9803
_cell_length_c 6.9645
_cell_angle_alpha 90.00
_cell_angle_beta 127.35
_cell_angle_gamma 90.00
_symmetry_space_group_name_H-M 'C 1 2/c 1'
_symmetry_Int_Tables_number 15
_symmetry_space_group_name_Hall '-C 2yc'
loop_
_atom_site_label
_atom_site_fract_x
_atom_site_fract_y
_atom_site_fract_z
Li1 0.1770 0.1253 0.2507
Mn1 0.1186 0.3745 0.9862
Se1 0.0000 0.1214 0.7500
Se2 0.0000 0.3714 0.2500
```



--- x ---
A plane-wave DFT calculation with PBE was carried out for an optimized crystal structure of LiMnSe.

M_tot, μB per formula unit: 3.96

The structure in CIF format:
```
data_LiMnSe
_chemical_formula_sum 'Li1 Mn1 Se1'
_cell_length_a 4.1908
_cell_length_b 4.1908
_cell_length_c 3.8618
_cell_angle_alpha 90.00
_cell_angle_beta 90.00
_cell_angle_gamma 120.00
_symmetry_space_group_name_H-M 'P 3 m 1'
_symmetry_Int_Tables_number 156
_symmetry_space_group_name_Hall 'P 3 -2"'
loop_
_atom_site_label
_atom_site_fract_x
_atom_site_fract_y
_atom_site_fract_z
Li1 0.0000 0.0000 0.0000
Mn1 0.6667 0.3333 0.5141
Se1 0.3333 0.6667 0.6004
```



Most stable one: w, least stable one: x.



--- w ---
A plane-wave DFT calculation with PBE was carried out for an optimized crystal structure of Li3MnSi.

M_tot, μB per formula unit: 0.49

The structure in CIF format:
```
data_Li3MnSi
_chemical_formula_sum 'Li3 Mn1 Si1'
_cell_length_a 4.5720
_cell_length_b 4.5720
_cell_length_c 4.5720
_cell_angle_alpha 90.00
_cell_angle_beta 90.00
_cell_angle_gamma 90.00
_symmetry_space_group_name_H-M 'P m -3 m'
_symmetry_Int_Tables_number 221
_symmetry_space_group_name_Hall '-P 4 2 3'
loop_
_atom_site_label
_atom_site_fract_x
_atom_site_fract_y
_atom_site_fract_z
Li1 0.0000 0.0000 0.5000
Mn1 0.5000 0.5000 0.5000
Si1 0.0000 0.0000 0.0000
```



--- x ---
A plane-wave DFT calculation with PBE was carried out for an optimized crystal structure of Li3MnSi.

M_tot, μB per formula unit: 4.37

The structure in CIF format:
```
data_Li3MnSi
_chemical_formula_sum 'Li3 Mn1 Si1'
_cell_length_a 4.6590
_cell_length_b 4.6590
_cell_length_c 4.6590
_cell_angle_alpha 90.00
_cell_angle_beta 90.00
_cell_angle_gamma 90.00
_symmetry_space_group_name_H-M 'P m -3 m'
_symmetry_Int_Tables_number 221
_symmetry_space_group_name_Hall '-P 4 2 3'
loop_
_atom_site_label
_atom_site_fract_x
_atom_site_fract_y
_atom_site_fract_z
Li1 0.0000 0.0000 0.5000
Mn1 0.0000 0.0000 0.0000
Si1 0.5000 0.5000 0.5000
```



Most stable one: x, least stable one: w.



--- w ---
A plane-wave DFT calculation with PBE was carried out for an optimized crystal structure of LiMnSn3.

M_tot, μB per formula unit: 4.58

The structure in CIF format:
```
data_LiMnSn3
_chemical_formula_sum 'Li1 Mn1 Sn3'
_cell_length_a 4.9695
_cell_length_b 4.9695
_cell_length_c 4.9695
_cell_angle_alpha 90.00
_cell_angle_beta 90.00
_cell_angle_gamma 90.00
_symmetry_space_group_name_H-M 'P m -3 m'
_symmetry_Int_Tables_number 221
_symmetry_space_group_name_Hall '-P 4 2 3'
loop_
_atom_site_label
_atom_site_fract_x
_atom_site_fract_y
_atom_site_fract_z
Li1 0.0000 0.0000 0.0000
Mn1 0.5000 0.5000 0.5000
Sn1 0.0000 0.0000 0.5000
```



--- x ---
A plane-wave DFT calculation with PBE was carried out for an optimized crystal structure of LiMnSn3.

M_tot, μB per formula unit: 2.00

The structure in CIF format:
```
data_LiMnSn3
_chemical_formula_sum 'Li1 Mn1 Sn3'
_cell_length_a 5.0290
_cell_length_b 5.0290
_cell_length_c 5.0290
_cell_angle_alpha 90.00
_cell_angle_beta 90.00
_cell_angle_gamma 90.00
_symmetry_space_group_name_H-M 'P m -3 m'
_symmetry_Int_Tables_number 221
_symmetry_space_group_name_Hall '-P 4 2 3'
loop_
_atom_site_label
_atom_site_fract_x
_atom_site_fract_y
_atom_site_fract_z
Li1 0.0000 0.0000 0.0000
Mn1 0.5000 0.5000 0.5000
Sn1 0.0000 0.5000 0.5000
```



Most stable one: x, least stable one: w.



--- w ---
A plane-wave DFT calculation with PBE was carried out for an optimized crystal structure of LiMn2Sn2.

M_tot, μB per formula unit: 5.88

The structure in CIF format:
```
data_LiMn2Sn2
_chemical_formula_sum 'Li2 Mn4 Sn4'
_cell_length_a 7.7978
_cell_length_b 7.7978
_cell_length_c 3.0528
_cell_angle_alpha 90.00
_cell_angle_beta 90.00
_cell_angle_gamma 90.00
_symmetry_space_group_name_H-M 'P 4/m b m'
_symmetry_Int_Tables_number 127
_symmetry_space_group_name_Hall '-P 4 2ab'
loop_
_atom_site_label
_atom_site_fract_x
_atom_site_fract_y
_atom_site_fract_z
Li1 0.0000 0.0000 0.0000
Mn1 0.1192 0.3808 0.0000
Sn1 0.1758 0.6758 0.5000
```



--- x ---
A plane-wave DFT calculation with PBE was carried out for an optimized crystal structure of LiMn2Sn2.

M_tot, μB per formula unit: 0.00

The structure in CIF format:
```
data_LiMn2Sn2
_chemical_formula_sum 'Li2 Mn4 Sn4'
_cell_length_a 3.2343
_cell_length_b 3.2343
_cell_length_c 17.4117
_cell_angle_alpha 90.00
_cell_angle_beta 90.00
_cell_angle_gamma 90.00
_symmetry_space_group_name_H-M 'I 4/m m m'
_symmetry_Int_Tables_number 139
_symmetry_space_group_name_Hall '-I 4 2'
loop_
_atom_site_label
_atom_site_fract_x
_atom_site_fract_y
_atom_site_fract_z
Li1 0.0000 0.0000 0.0000
Mn1 0.0000 0.5000 0.2500
Sn1 0.0000 0.0000 0.3792
```



Most stable one: w, least stable one: x.



--- w ---
A plane-wave DFT calculation with PBE was carried out for an optimized crystal structure of Sr2LiMn2.

M_tot, μB per formula unit: 7.46

The structure in CIF format:
```
data_Sr2LiMn2
_chemical_formula_sum 'Sr4 Li2 Mn4'
_cell_length_a 7.9625
_cell_length_b 7.9625
_cell_length_c 4.7838
_cell_angle_alpha 90.00
_cell_angle_beta 90.00
_cell_angle_gamma 90.00
_symmetry_space_group_name_H-M 'P 4/m b m'
_symmetry_Int_Tables_number 127
_symmetry_space_group_name_Hall '-P 4 2ab'
loop_
_atom_site_label
_atom_site_fract_x
_atom_site_fract_y
_atom_site_fract_z
Sr1 0.1752 0.3248 0.0000
Li1 0.0000 0.0000 0.5000
Mn1 0.1132 0.6132 0.5000
```



--- x ---
A plane-wave DFT calculation with PBE was carried out for an optimized crystal structure of Sr2LiMn2.

M_tot, μB per formula unit: 7.47

The structure in CIF format:
```
data_Sr2LiMn2
_chemical_formula_sum 'Sr4 Li2 Mn4'
_cell_length_a 6.2231
_cell_length_b 6.2231
_cell_length_c 8.1005
_cell_angle_alpha 90.00
_cell_angle_beta 90.00
_cell_angle_gamma 90.00
_symmetry_space_group_name_H-M 'I 4/m m m'
_symmetry_Int_Tables_number 139
_symmetry_space_group_name_Hall '-I 4 2'
loop_
_atom_site_label
_atom_site_fract_x
_atom_site_fract_y
_atom_site_fract_z
Sr1 0.0000 0.5000 0.2500
Li1 0.0000 0.0000 0.0000
Mn1 0.0000 0.0000 0.3514
```



Most stable one: w, least stable one: x.



--- w ---
A plane-wave DFT calculation with PBE was carried out for an optimized crystal structure of SrLiMn3.

M_tot, μB per formula unit: 12.19

The structure in CIF format:
```
data_SrLiMn3
_chemical_formula_sum 'Sr1 Li1 Mn3'
_cell_length_a 5.5267
_cell_length_b 5.5267
_cell_length_c 5.5267
_cell_angle_alpha 90.00
_cell_angle_beta 90.00
_cell_angle_gamma 90.00
_symmetry_space_group_name_H-M 'P m -3 m'
_symmetry_Int_Tables_number 221
_symmetry_space_group_name_Hall '-P 4 2 3'
loop_
_atom_site_label
_atom_site_fract_x
_atom_site_fract_y
_atom_site_fract_z
Sr1 0.0000 0.0000 0.0000
Li1 0.5000 0.5000 0.5000
Mn1 0.0000 0.0000 0.5000
```



--- x ---
A plane-wave DFT calculation with PBE was carried out for an optimized crystal structure of SrLiMn3.

M_tot, μB per formula unit: 11.90

The structure in CIF format:
```
data_SrLiMn3
_chemical_formula_sum 'Sr1 Li1 Mn3'
_cell_length_a 4.7598
_cell_length_b 4.7598
_cell_length_c 4.7598
_cell_angle_alpha 90.00
_cell_angle_beta 90.00
_cell_angle_gamma 90.00
_symmetry_space_group_name_H-M 'P m -3 m'
_symmetry_Int_Tables_number 221
_symmetry_space_group_name_Hall '-P 4 2 3'
loop_
_atom_site_label
_atom_site_fract_x
_atom_site_fract_y
_atom_site_fract_z
Sr1 0.0000 0.0000 0.0000
Li1 0.5000 0.5000 0.5000
Mn1 0.0000 0.5000 0.5000
```



Most stable one: x, least stable one: w.